Entry 1:
Below is Cr2Au after structural relaxation, with properties calculated at the PBE-GGA level.

Computed properties:
- E_form: 396 meV per atom
- Calculated total energy: -21.3 eV per formula unit
- Calculated volume: 15.87 Å³ per atom

abc: 5.145 5.145 6.728
angles: 71.56 71.56 34.53
Site moments in Bohr magnetons follow the coordinates.
Element x y z (fractional)
Cr: 0.597 0.597 0.290  3.06
Cr: 0.952 0.952 0.601  -2.63
Cr: 0.650 0.650 0.676  2.98
Cr: 0.311 0.311 0.901  3.19
Au: 0.013 0.013 0.011  0.08
Au: 0.310 0.310 0.353  0.06

---

Entry 2:
Below is Dy13Ho2 after structural relaxation, with properties calculated at the PBE-GGA level.

Computed properties:
- Excess energy over the best structure of this formula in the dataset: 0.093 eV/atom
- E_form: 163 meV per atom
- Calculated total energy: -66.5 eV per formula unit
- Calculated volume: 32.12 Å³ per atom

abc: 6.973 6.973 12.129
angles: 73.29 73.29 60.00
Element x y z (fractional)
Dy: 0.500 0.500 0.500
Dy: 0.709 0.209 0.874
Dy: 0.209 0.209 0.874
Dy: 0.209 0.709 0.874
Dy: 0.791 0.291 0.126
Dy: 0.291 0.791 0.126
Dy: 0.791 0.791 0.126
Dy: 0.543 0.046 0.365
Dy: 0.046 0.046 0.365
Dy: 0.046 0.543 0.365
Dy: 0.954 0.457 0.635
Dy: 0.457 0.954 0.635
Dy: 0.954 0.954 0.635
Ho: 0.294 0.294 0.119
Ho: 0.706 0.706 0.881

---

Entry 3:
Below is TmScNiAg after structural relaxation, with properties calculated at the PBE-GGA level.

Computed properties:
- Excess energy over the best structure of this formula in the dataset: 0.000 eV/atom
- E_form: -381 meV per atom
- Calculated total energy: -21.0 eV per formula unit
- Calculated volume: 19.46 Å³ per atom

abc: 3.340 3.340 6.977
angles: 90.00 90.00 90.00
Element x y z (fractional)
Tm: 0.500 0.500 0.796
Sc: 0.500 0.500 0.347
Ni: 0.000 0.000 0.553
Ag: 0.000 0.000 0.089

---

Entry 4:
Below is KRe2Rh after structural relaxation, with properties calculated at the PBE-GGA level.

Computed properties:
- Excess energy over the best structure of this formula in the dataset: 0.332 eV/atom
- E_form: 928 meV per atom
- Calculated total energy: -29.6 eV per formula unit
- Calculated volume: 21.81 Å³ per atom

abc: 2.713 4.164 7.722
angles: 90.00 90.00 90.00
Element x y z (fractional)
K: 0.500 0.500 0.750
Re: 0.000 0.000 0.100
Re: 0.000 0.000 0.400
Rh: 0.500 0.500 0.250

---

Entry 5:
Below is BaZnNi after structural relaxation, with properties calculated at the PBE-GGA level.

Computed properties:
- E_form: -109 meV per atom
- Calculated total energy: -9.3 eV per formula unit
- Calculated volume: 27.80 Å³ per atom

abc: 4.532 4.532 8.122
angles: 90.00 90.00 90.00
Element x y z (fractional)
Ba: 0.750 0.750 0.288
Ba: 0.250 0.250 0.712
Zn: 0.250 0.250 0.121
Zn: 0.750 0.750 0.879
Ni: 0.250 0.750 0.000
Ni: 0.750 0.250 0.000

---

Entry 6:
Below is BaZnSn2Rh2 after structural relaxation, with properties calculated at the PBE-GGA level.

Computed properties:
- E_form: -412 meV per atom
- Calculated total energy: -28.4 eV per formula unit
- Calculated volume: 23.72 Å³ per atom

abc: 4.777 4.777 6.237
angles: 90.00 90.00 90.00
Element x y z (fractional)
Ba: 0.000 0.000 0.500
Zn: 0.000 0.000 0.000
Sn: 0.500 0.500 0.758
Sn: 0.500 0.500 0.242
Rh: 0.500 0.000 0.000
Rh: 0.000 0.500 0.000

---

Question: What is the formula in the fifth record?
Answer: BaZnNi

---

Question: What is the formula in the fifth record?
Answer: BaZnNi